Material: LaZr2Sb
Method: DFT, PBE
State: relaxed

Formation energy from raw total energies   -0.24 eV/atom
Raw total energy   -54.2 eV for the cell shown

Unit cell a=4.3167 b=4.7402 c=10.0056 alpha=90.00 beta=90.00 gamma=90.00
With the nearest neighbours (Å) after each atom.
Space group Imm2 (No. 44)
Asymmetric unit:
La 0.0000 0.0000 0.0000 (multiplicity 2)  8 Zr 3.22-3.42, 4 Sb 3.33-3.42
Zr 0.0000 0.0000 0.4680 (multiplicity 2)  2 Sb 3.05, 4 La 3.22, 2 Zr 3.25
Zr 0.0000 0.5000 0.2461 (multiplicity 2)  4 Sb 3.21, 4 Zr 3.25-3.52, 4 La 3.33-3.42
Sb 0.0000 0.5000 0.7530 (multiplicity 2)  6 Zr 3.05-3.21, 2 La 3.33